[1]
The following is a GGA-PBE calculation of crystalline KSi2Ag at its relaxed geometry, from Alexandria.

Geometry as CIF:
```
data_KSi2Ag
_symmetry_space_group_name_H-M 'C 1 2/m 1'
_symmetry_Int_Tables_number 12
_symmetry_space_group_name_Hall '-C 2y'
_cell_length_a 8.321
_cell_length_b 3.887
_cell_length_c 6.582
_cell_angle_alpha 90.00
_cell_angle_beta 106.36
_cell_angle_gamma 90.00
loop_
_atom_site_label
_atom_site_type_symbol
_atom_site_fract_x
_atom_site_fract_y
_atom_site_fract_z
K1 K 0.000 0.000 0.000
Si1 Si 0.226 0.000 0.612
Ag1 Ag 0.000 0.500 0.500
```

The calculation puts the density of states at the Fermi level at 0.30 states/eV/atom. The electronic total energy comes out at -3.542 eV/atom. The value obtained for the uncorrected formation energy is 0.16 eV/atom. The polymorph energy (0 for the lowest one) is 0.0 kJ per mole of atoms.

[2]
The following is a GGA-PBE calculation of crystalline LiCa2Tl at its relaxed geometry, from Alexandria.

Geometry as CIF:
```
data_LiCa2Tl
_symmetry_space_group_name_H-M 'I -4 2 d'
_symmetry_Int_Tables_number 122
_symmetry_space_group_name_Hall 'I -4 2bw'
_cell_length_a 8.627
_cell_length_b 8.627
_cell_length_c 6.949
_cell_angle_alpha 90.00
_cell_angle_beta 90.00
_cell_angle_gamma 90.00
loop_
_atom_site_label
_atom_site_type_symbol
_atom_site_fract_x
_atom_site_fract_y
_atom_site_fract_z
Li1 Li 0.000 0.000 0.000
Ca1 Ca 0.247 0.250 0.625
Tl1 Tl 0.000 0.000 0.500
```

The calculation puts the density of states at the Fermi level at 0.77 states/eV/atom. Its formation energy is 5.4 meV/atom. The electronic total energy comes out at -2.065 eV/atom. The polymorph energy (0 for the lowest one) is 28.7 kJ per mole of atoms.

[3]
The following is a GGA-PBE calculation of crystalline CsV3In at its relaxed geometry, from Alexandria.

Geometry as CIF:
```
data_CsV3In
_symmetry_space_group_name_H-M 'P m -3 m'
_symmetry_Int_Tables_number 221
_symmetry_space_group_name_Hall '-P 4 2 3'
_cell_length_a 5.139
_cell_length_b 5.139
_cell_length_c 5.139
_cell_angle_alpha 90.00
_cell_angle_beta 90.00
_cell_angle_gamma 90.00
loop_
_atom_site_label
_atom_site_type_symbol
_atom_site_fract_x
_atom_site_fract_y
_atom_site_fract_z
Cs1 Cs 0.000 0.000 0.000
V1 V 0.000 0.500 0.500
In1 In 0.500 0.500 0.500
```

The calculation puts the density of states at the Fermi level at 1.81 states/eV/atom. Its formation energy is 1599.2 meV/atom. The electronic total energy comes out at -4.590 eV/atom. The polymorph energy (0 for the lowest one) is 0.0 kJ per mole of atoms.

[4]
The following is a GGA-PBE calculation of crystalline Dy2CoCl at its relaxed geometry, from Alexandria.

Geometry as CIF:
```
data_Dy2CoCl
_symmetry_space_group_name_H-M 'R 3 m'
_symmetry_Int_Tables_number 160
_symmetry_space_group_name_Hall 'R 3 -2"'
_cell_length_a 3.8051
_cell_length_b 3.8051
_cell_length_c 22.3427
_cell_angle_alpha 90.00
_cell_angle_beta 90.00
_cell_angle_gamma 120.00
loop_
_atom_site_label
_atom_site_type_symbol
_atom_site_fract_x
_atom_site_fract_y
_atom_site_fract_z
Dy1 Dy 0.0000 0.0000 0.0000
Dy2 Dy 0.0000 0.0000 0.2028
Co1 Co 0.0000 0.0000 0.6010
Cl1 Cl 0.0000 0.0000 0.4301
```

The calculation puts the density of states at the Fermi level at 0.20 states/eV/atom. The electronic total energy comes out at -5.368 eV/atom. The value obtained for the uncorrected formation energy is -0.83 eV/atom. The polymorph energy (0 for the lowest one) is 2.3 kJ per mole of atoms.

[5]
The following is a GGA-PBE calculation of crystalline SmSn6Rh6 at its relaxed geometry, from Alexandria.

Geometry as CIF:
```
data_SmSn6Rh6
_symmetry_space_group_name_H-M 'P 6/m m m'
_symmetry_Int_Tables_number 191
_symmetry_space_group_name_Hall '-P 6 2'
_cell_length_a 5.6684
_cell_length_b 5.6684
_cell_length_c 8.8148
_cell_angle_alpha 90.00
_cell_angle_beta 90.00
_cell_angle_gamma 120.00
loop_
_atom_site_label
_atom_site_type_symbol
_atom_site_fract_x
_atom_site_fract_y
_atom_site_fract_z
Sm1 Sm 0.0000 0.0000 0.0000
Sn1 Sn 0.0000 0.0000 0.3382
Sn2 Sn 0.3333 0.6667 0.0000
Sn3 Sn 0.3333 0.6667 0.5000
Rh1 Rh 0.0000 0.5000 0.2498
```

The calculation puts the density of states at the Fermi level at 0.45 states/eV/atom. Its formation energy is -562.1 meV/atom. The electronic total energy comes out at -6.166 eV/atom.

[6]
The following is a GGA-PBE calculation of crystalline Te3Se at its relaxed geometry, from Alexandria.

Geometry as CIF:
```
data_Te3Se
_symmetry_space_group_name_H-M 'I m m 2'
_symmetry_Int_Tables_number 44
_symmetry_space_group_name_Hall 'I 2 -2'
_cell_length_a 3.964
_cell_length_b 8.042
_cell_length_c 8.672
_cell_angle_alpha 90.00
_cell_angle_beta 90.00
_cell_angle_gamma 90.00
loop_
_atom_site_label
_atom_site_type_symbol
_atom_site_fract_x
_atom_site_fract_y
_atom_site_fract_z
Te1 Te 0.000 0.000 0.000
Te2 Te 0.000 0.244 0.387
Se1 Se 0.000 0.500 0.963
```

The calculation puts the density of states at the Fermi level at 0.46 states/eV/atom. The electronic total energy comes out at -3.124 eV/atom. The value obtained for the uncorrected formation energy is 0.10 eV/atom.

[7]
The following is a GGA-PBE calculation of crystalline HgGeTeN2 at its relaxed geometry, from Alexandria.

Geometry as CIF:
```
data_HgGeTeN2
_symmetry_space_group_name_H-M 'P 4/m m m'
_symmetry_Int_Tables_number 123
_symmetry_space_group_name_Hall '-P 4 2'
_cell_length_a 4.311
_cell_length_b 4.311
_cell_length_c 6.349
_cell_angle_alpha 90.00
_cell_angle_beta 90.00
_cell_angle_gamma 90.00
loop_
_atom_site_label
_atom_site_type_symbol
_atom_site_fract_x
_atom_site_fract_y
_atom_site_fract_z
Hg1 Hg 0.000 0.000 0.000
Ge1 Ge 0.500 0.500 0.500
Te1 Te 0.000 0.000 0.500
N1 N 0.000 0.500 0.000
```

The calculation puts the density of states at the Fermi level at 0.53 states/eV/atom. The electronic total energy comes out at -3.120 eV/atom. The value obtained for the uncorrected formation energy is 1.82 eV/atom. The polymorph energy (0 for the lowest one) is 59.6 kJ per mole of atoms.

[8]
The following is a GGA-PBE calculation of crystalline HfInNiAs2 at its relaxed geometry, from Alexandria.

Geometry as CIF:
```
data_HfInNiAs2
_symmetry_space_group_name_H-M 'P 4/m m m'
_symmetry_Int_Tables_number 123
_symmetry_space_group_name_Hall '-P 4 2'
_cell_length_a 5.081
_cell_length_b 5.081
_cell_length_c 5.567
_cell_angle_alpha 90.00
_cell_angle_beta 90.00
_cell_angle_gamma 90.00
loop_
_atom_site_label
_atom_site_type_symbol
_atom_site_fract_x
_atom_site_fract_y
_atom_site_fract_z
Hf1 Hf 0.000 0.000 0.000
In1 In 0.000 0.000 0.500
Ni1 Ni 0.500 0.500 0.500
As1 As 0.000 0.500 0.000
```

The calculation puts the density of states at the Fermi level at 1.92 states/eV/atom. Its formation energy is 772.8 meV/atom. The electronic total energy comes out at -4.782 eV/atom.

[9]
The following is a GGA-PBE calculation of crystalline La3HoTm2P6 at its relaxed geometry, from Alexandria.

Geometry as CIF:
```
data_La3HoTm2P6
_symmetry_space_group_name_H-M 'C 1 2/m 1'
_symmetry_Int_Tables_number 12
_symmetry_space_group_name_Hall '-C 2y'
_cell_length_a 7.137
_cell_length_b 12.361
_cell_length_c 7.130
_cell_angle_alpha 90.00
_cell_angle_beta 109.48
_cell_angle_gamma 90.00
loop_
_atom_site_label
_atom_site_type_symbol
_atom_site_fract_x
_atom_site_fract_y
_atom_site_fract_z
La1 La 0.000 0.000 0.000
La2 La 0.000 0.334 0.000
Ho1 Ho 0.000 0.500 0.500
Tm1 Tm 0.000 0.167 0.500
P1 P 0.243 0.000 0.733
P2 P 0.245 0.333 0.733
```

The calculation puts the density of states at the Fermi level at 0.10 states/eV/atom. Its formation energy is -1572.0 meV/atom. The electronic total energy comes out at -6.636 eV/atom.

[10]
The following is a GGA-PBE calculation of crystalline CeHo2Er at its relaxed geometry, from Alexandria.

Geometry as CIF:
```
data_CeHo2Er
_symmetry_space_group_name_H-M 'F m -3 m'
_symmetry_Int_Tables_number 225
_symmetry_space_group_name_Hall '-F 4 2 3'
_cell_length_a 7.953
_cell_length_b 7.953
_cell_length_c 7.953
_cell_angle_alpha 90.00
_cell_angle_beta 90.00
_cell_angle_gamma 90.00
loop_
_atom_site_label
_atom_site_type_symbol
_atom_site_fract_x
_atom_site_fract_y
_atom_site_fract_z
Ce1 Ce 0.000 0.000 0.000
Ho1 Ho 0.250 0.250 0.250
Er1 Er 0.000 0.000 0.500
```

The calculation puts the density of states at the Fermi level at 2.66 states/eV/atom. Its formation energy is 172.8 meV/atom. The electronic total energy comes out at -4.740 eV/atom. The polymorph energy (0 for the lowest one) is 11.4 kJ per mole of atoms.

[11]
The following is a GGA-PBE calculation of crystalline C2Se3 at its relaxed geometry, from Alexandria.

Geometry as CIF:
```
data_C2Se3
_symmetry_space_group_name_H-M 'I 41 m d'
_symmetry_Int_Tables_number 109
_symmetry_space_group_name_Hall 'I 4bw -2'
_cell_length_a 6.970
_cell_length_b 6.970
_cell_length_c 8.252
_cell_angle_alpha 90.00
_cell_angle_beta 90.00
_cell_angle_gamma 90.00
loop_
_atom_site_label
_atom_site_type_symbol
_atom_site_fract_x
_atom_site_fract_y
_atom_site_fract_z
C1 C 0.000 0.169 0.000
Se1 Se 0.000 0.000 0.762
Se2 Se 0.000 0.287 0.336
```

The calculation puts the density of states at the Fermi level at 0.25 states/eV/atom. The electronic total energy comes out at -4.345 eV/atom. The value obtained for the uncorrected formation energy is 1.44 eV/atom. The polymorph energy (0 for the lowest one) is 0.0 kJ per mole of atoms.

[12]
The following is a GGA-PBE calculation of crystalline PrNdHo4S8 at its relaxed geometry, from Alexandria.

Geometry as CIF:
```
data_PrNdHo4S8
_symmetry_space_group_name_H-M 'R 3 m'
_symmetry_Int_Tables_number 160
_symmetry_space_group_name_Hall 'R 3 -2"'
_cell_length_a 8.0917
_cell_length_b 8.0917
_cell_length_c 20.1012
_cell_angle_alpha 90.00
_cell_angle_beta 90.00
_cell_angle_gamma 120.00
loop_
_atom_site_label
_atom_site_type_symbol
_atom_site_fract_x
_atom_site_fract_y
_atom_site_fract_z
Pr1 Pr 0.0000 0.0000 0.0000
Nd1 Nd 0.0000 0.0000 0.3742
Ho1 Ho 0.0000 0.0000 0.7475
Ho2 Ho 0.1676 0.3353 0.2064
S1 S 0.0000 0.0000 0.1367
S2 S 0.0000 0.0000 0.6156
S3 S 0.0107 0.5053 0.1294
S4 S 0.1789 0.3578 0.9492
```

The calculation puts the density of states at the Fermi level at 0.57 states/eV/atom. The electronic total energy comes out at -6.266 eV/atom. The value obtained for the uncorrected formation energy is -1.92 eV/atom.